Entry from the Alexandria database: PaNi2PtO8 after structural relaxation (PBE+U).

a b c (Å): 4.702 4.702 6.468
angles (deg): 90.00 90.00 92.00
Positions (direct):
Pa 0.000 0.000 0.000
Ni 0.500 0.500 0.260
Ni 0.500 0.500 0.740
Pt 0.000 0.000 0.500
O 0.197 0.803 0.270
O 0.197 0.803 0.730
O 0.298 0.298 0.500
O 0.315 0.315 0.000
O 0.685 0.685 0.000
O 0.702 0.702 0.500
O 0.803 0.197 0.270
O 0.803 0.197 0.730

Results
- Calculated volume: 11.9 Å³/atom
- Space-group type: Cmmm
- Energy: -6.4190 eV/atom